1.
VASP calculation (PBE-GGA) on a relaxed structure of SnIrBr2.

The density of states at the Fermi level comes out at 0.4600 states/eV/atom. The value obtained for the total energy is -3.50 eV per atom. Its density is 7.66 g cm⁻³. As for the formation energy from raw total energies: 0.55 eV per atom. The total magnetization comes out at 0.000 μB/cell.

The structure belongs to space group I-42d (No. 122); the cell edges are 4.804, 4.804 and 17.687 Å and the angles 90.00°, 90.00° and 90.00°. The distinct sites, in fractional coordinates, are Sn at (0.000, 0.000, 0.000), Ir at (0.000, 0.000, 0.500) and Br at (0.200, 0.250, 0.625).

2.
VASP calculation (PBE-GGA) on a relaxed structure of Tb4Tm5In.

The density of states at the Fermi level comes out at 1.4234 states/eV/atom. The value obtained for the total energy is -4.25 eV per atom. Its density is 8.34 g cm⁻³. The formation energy from the elements is 110 meV per atom. The total magnetization comes out at 0.000 μB/cell.

The structure belongs to space group I4 (No. 79); the cell edges are 10.536, 10.536 and 5.725 Å and the angles 90.00°, 90.00° and 90.00°. The distinct sites, in fractional coordinates, are Tb at (0.001, 0.315, 0.000), Tm at (0.000, 0.000, 0.215), Tm at (0.185, 0.185, 0.501) and In at (0.000, 0.000, 0.731).